Entry from Alexandria: crystalline MnAgBrF2 at its relaxed geometry (PBE+U).

Unit cell a=4.080 b=4.080 c=5.912 alpha=90.00 beta=90.00 gamma=90.00
Space group P4/mmm (No. 123)
One atom of each set of equivalent atoms:
Mn  0.000  0.000  0.000 x1
Ag  0.500  0.500  0.500 x1
Br  0.000  0.000  0.500 x1
F  0.000  0.500  0.000 x2

Summary:
**DOS(E_F)**: 0.069 states/eV/atom
**Energy**: -4.72 eV per atom